[1]
Computed, not measured: an optimized crystal structure of Pm7TeI12 at the PBE level of DFT.

The space group is R-3 (No. 148, hexagonal axes) and the conventional cell measures 16.1515, 16.1515 and 10.6362 Å, with angles of 90.00, 90.00 and 120.00 degrees. Symmetry generates all atoms from Pm at (0.0000, 0.0000, 0.0000), Pm at (0.0470, 0.1654, 0.3384), Te at (0.0000, 0.0000, 0.5000), I at (0.0248, 0.5879, 0.1639) and I at (0.0526, 0.1862, 0.8417).

[2]
Computed, not measured: an optimized crystal structure of PmTeI at the PBE level of DFT.

The space group is Fddd (No. 70, origin choice 2) and the conventional cell measures 10.766, 11.891 and 14.997 Å, with angles of 90.00, 90.00 and 90.00 degrees. Symmetry generates all atoms from Pm at (0.125, 0.322, 0.125), Te at (0.125, 0.125, 0.264) and I at (0.000, 0.000, 0.500).

[3]
Computed, not measured: an optimized crystal structure of Pm6TeI8 at the PBE level of DFT.

The space group is R-3 (No. 148, hexagonal axes) and the conventional cell measures 7.7688, 7.7688 and 33.8140 Å, with angles of 90.00, 90.00 and 120.00 degrees. Symmetry generates all atoms from Pm at (0.0000, 0.3278, 0.4509), Te at (0.0000, 0.0000, 0.5000), I at (0.0000, 0.0000, 0.1667) and I at (0.0000, 0.3343, 0.6066).

[4]
Computed, not measured: an optimized crystal structure of Pm5Te4I at the PBE level of DFT.

The space group is R-3m (No. 166, hexagonal axes) and the conventional cell measures 4.4315, 4.4315 and 56.0856 Å, with angles of 90.00, 90.00 and 120.00 degrees. Symmetry generates all atoms from Pm at (0.0000, 0.0000, 0.0000), Pm at (0.0000, 0.0000, 0.2043), Pm at (0.0000, 0.0000, 0.3999), Te at (0.0000, 0.0000, 0.0985), Te at (0.0000, 0.0000, 0.3002) and I at (0.0000, 0.0000, 0.5000).

[5]
Computed, not measured: an optimized crystal structure of Pm4Te4I3 at the PBE level of DFT.

The space group is Immm (No. 71) and the conventional cell measures 4.442, 8.847 and 19.102 Å, with angles of 90.00, 90.00 and 90.00 degrees. Symmetry generates all atoms from Pm at (0.000, 0.000, 0.230), Pm at (0.000, 0.211, 0.500), Te at (0.000, 0.287, 0.335), I at (0.000, 0.000, 0.000) and I at (0.000, 0.500, 0.088).

[6]
Computed, not measured: an optimized crystal structure of Pm5Te4I at the PBE level of DFT.

The space group is I4/mmm (No. 139) and the conventional cell measures 4.443, 4.443 and 32.121 Å, with angles of 90.00, 90.00 and 90.00 degrees. Symmetry generates all atoms from Pm at (0.000, 0.000, 0.000), Pm at (0.000, 0.000, 0.192), Pm at (0.000, 0.000, 0.393), Te at (0.000, 0.000, 0.096), Te at (0.000, 0.000, 0.295) and I at (0.000, 0.000, 0.500).

[7]
Computed, not measured: an optimized crystal structure of Pm3Te2I at the PBE level of DFT.

The space group is Imm2 (No. 44) and the conventional cell measures 4.264, 14.702 and 7.741 Å, with angles of 90.00, 90.00 and 90.00 degrees. Symmetry generates all atoms from Pm at (0.000, 0.000, 0.000), Pm at (0.000, 0.375, 0.832), Te at (0.000, 0.206, 0.087) and I at (0.000, 0.500, 0.179).

[8]
Computed, not measured: an optimized crystal structure of PmTeI3 at the PBE level of DFT.

The space group is P2/c (No. 13) and the conventional cell measures 7.699, 8.948 and 15.507 Å, with angles of 90.00, 105.87 and 90.00 degrees. Symmetry generates all atoms from Pm at (0.095, 0.150, 0.122), Te at (0.170, 0.374, 0.303), I at (0.191, 0.164, 0.564), I at (0.259, 0.014, 0.317) and I at (0.344, 0.351, 0.060).

[9]
Computed, not measured: an optimized crystal structure of Pm2Te3I at the PBE level of DFT.

The space group is Cmcm (No. 63) and the conventional cell measures 9.568, 10.842 and 7.533 Å, with angles of 90.00, 90.00 and 90.00 degrees. Symmetry generates all atoms from Pm at (0.237, 0.000, 0.000), Te at (0.000, 0.086, 0.250), Te at (0.151, 0.256, 0.750) and I at (0.000, 0.416, 0.250).

[10]
Computed, not measured: an optimized crystal structure of PmTeI at the PBE level of DFT.

The space group is I4mm (No. 107) and the conventional cell measures 3.919, 3.919 and 14.674 Å, with angles of 90.00, 90.00 and 90.00 degrees. Symmetry generates all atoms from Pm at (0.000, 0.000, 0.000), Te at (0.000, 0.000, 0.391) and I at (0.000, 0.000, 0.644).

[11]
Computed, not measured: an optimized crystal structure of PmTeI at the PBE level of DFT.

The space group is P3m1 (No. 156) and the conventional cell measures 4.5052, 4.5052 and 7.3940 Å, with angles of 90.00, 90.00 and 120.00 degrees. Symmetry generates all atoms from Pm at (0.0000, 0.0000, 0.0000), Te at (0.3333, 0.6667, 0.7813) and I at (0.6667, 0.3333, 0.2698).

[12]
Computed, not measured: an optimized crystal structure of PmTeI at the PBE level of DFT.

The space group is C2/m (No. 12) and the conventional cell measures 15.267, 4.516 and 7.884 Å, with angles of 90.00, 100.55 and 90.00 degrees. Symmetry generates all atoms from Pm at (0.246, 0.000, 0.271), Te at (0.131, 0.500, 0.374) and I at (0.132, 0.000, 0.878).

Result set for formation energy without anion corrections: -1.3051; -1.3158; -1.1642; -1.2595; -1.2391; -1.2553; -0.9522; -0.9606; -1.1133; -1.2039; -1.3839; -1.3826 eV per atom, one per record in the order listed.